The following is a PBE calculation of a geometry-optimized NdSc3Ru4 structure, from Alexandria.

The calculation puts the total energy at -7.984 eV per atom. The formation energy from the elements comes out at -0.38 eV/atom.

The structure belongs to space group P4/mmm (No. 123); the cell edges are 4.644, 4.644 and 6.577 Å and the angles 90.00°, 90.00° and 90.00°. The asymmetric unit holds Nd at (0.000, 0.000, 0.000), Sc at (0.000, 0.000, 0.500), Sc at (0.500, 0.500, 0.000), Sc at (0.500, 0.500, 0.500) and Ru at (0.000, 0.500, 0.260).



The following is a PBE calculation of a geometry-optimized Te2AsBr structure, from Alexandria.

The calculation puts the total energy at -3.076 eV per atom. For the energy relative to the lowest polymorph listed for this composition, the calculation gives 0.142 eV/atom.

The structure belongs to space group Imm2 (No. 44); the cell edges are 3.826, 5.235 and 13.233 Å and the angles 90.00°, 90.00° and 90.00°. The asymmetric unit holds Te at (0.000, 0.000, 0.000), Te at (0.000, 0.500, 0.103), As at (0.000, 0.000, 0.445) and Br at (0.000, 0.500, 0.788).



The following is a PBE calculation of a geometry-optimized In7Ga structure, from Alexandria.

The calculation puts the total energy at -2.757 eV per atom. The formation energy from the elements comes out at 0.02 eV/atom.

The structure belongs to space group Fm-3m (No. 225); the cell edges are 9.427, 9.427 and 9.427 Å and the angles 90.00°, 90.00° and 90.00°. The asymmetric unit holds In at (0.000, 0.000, 0.000), In at (0.000, 0.250, 0.250) and Ga at (0.000, 0.000, 0.500).



The following is a PBE calculation of a geometry-optimized Sm9Er2In structure, from Alexandria.

The calculation puts the total energy at -4.597 eV per atom. The formation energy from the elements comes out at -0.07 eV/atom.

The structure belongs to space group P4/mmm (No. 123); the cell edges are 5.011, 5.011 and 15.304 Å and the angles 90.00°, 90.00° and 90.00°. The asymmetric unit holds Sm at (0.000, 0.000, 0.000), Sm at (0.000, 0.000, 0.330), Sm at (0.000, 0.500, 0.162), Sm at (0.000, 0.500, 0.500), Er at (0.500, 0.500, 0.332) and In at (0.500, 0.500, 0.000).



The following is a PBE calculation of a geometry-optimized BaGaAgAu2 structure, from Alexandria.

The calculation puts the total energy at -3.320 eV per atom. For the energy relative to the lowest polymorph listed for this composition, the calculation gives 0.000 eV/atom. The formation energy from the elements comes out at -0.45 eV/atom.

The structure belongs to space group I-4m2 (No. 119); the cell edges are 4.568, 4.568 and 11.838 Å and the angles 90.00°, 90.00° and 90.00°. The asymmetric unit holds Ba at (0.000, 0.000, 0.000), Ga at (0.000, 0.500, 0.250), Ag at (0.000, 0.500, 0.750) and Au at (0.000, 0.000, 0.381).



The following is a PBE calculation of a geometry-optimized Sm2MgZn3Pt4 structure, from Alexandria.

The calculation puts the total energy at -4.704 eV per atom. The formation energy from the elements comes out at -0.80 eV/atom.

The structure belongs to space group P-4m2 (No. 115); the cell edges are 4.100, 4.100 and 11.408 Å and the angles 90.00°, 90.00° and 90.00°. The asymmetric unit holds Sm at (0.000, 0.500, 0.239), Mg at (0.000, 0.000, 0.500), Zn at (0.000, 0.500, 0.868), Zn at (0.500, 0.500, 0.500), Pt at (0.000, 0.000, 0.000), Pt at (0.000, 0.500, 0.649) and Pt at (0.500, 0.500, 0.000).